Entry 1:
Here is a crystal of SrScNi relaxed with PBEsol from Alexandria. Energies are from SCAN.

Cell and atoms, written as CIF:
```
data_SrScNi
_symmetry_space_group_name_H-M 'F -4 3 m'
_symmetry_Int_Tables_number 216
_symmetry_space_group_name_Hall 'F -4 2 3'
_cell_length_a 6.665
_cell_length_b 6.665
_cell_length_c 6.665
_cell_angle_alpha 90.00
_cell_angle_beta 90.00
_cell_angle_gamma 90.00
loop_
_atom_site_label
_atom_site_fract_x
_atom_site_fract_y
_atom_site_fract_z
Sr1 0.000 0.000 0.000
Sc1 0.000 0.000 0.500
Ni1 0.250 0.250 0.750
```

Calculated values
* energy of formation from the pure elements: 0.7 eV/f.u.
* DOS(E_F): 12.3 states/eV per cell
* polymorph energy (0 for the lowest one): 164 meV per atom



Entry 2:
Here is a crystal of SrScNi relaxed with PBEsol from Alexandria. Energies are from SCAN.

Cell and atoms, written as CIF:
```
data_SrScNi
_symmetry_space_group_name_H-M 'P 3 m 1'
_symmetry_Int_Tables_number 156
_cell_length_a 3.8584
_cell_length_b 3.8584
_cell_length_c 6.3008
_cell_angle_alpha 90.00
_cell_angle_beta 90.00
_cell_angle_gamma 120.00
loop_
_symmetry_equiv_pos_as_xyz
'x,y,z'
'-y,x-y,z'
'-x+y,-x,z'
'-y,-x,z'
'-x+y,y,z'
'x,x-y,z'
loop_
_atom_site_label
_atom_site_fract_x
_atom_site_fract_y
_atom_site_fract_z
Sr1 0.0000 0.0000 0.0000
Sc1 0.6667 0.3333 0.5178
Ni1 0.3333 0.6667 0.6948
```

Calculated values
* energy of formation from the pure elements: 0.2 eV/f.u.
* DOS(E_F): 3.5 states/eV per cell
* polymorph energy (0 for the lowest one): 0 meV per atom



Entry 3:
Here is a crystal of SrScNi2 relaxed with PBEsol from Alexandria. Energies are from SCAN.

Cell and atoms, written as CIF:
```
data_SrScNi2
_symmetry_space_group_name_H-M 'F -4 3 m'
_symmetry_Int_Tables_number 216
_symmetry_space_group_name_Hall 'F -4 2 3'
_cell_length_a 6.462
_cell_length_b 6.462
_cell_length_c 6.462
_cell_angle_alpha 90.00
_cell_angle_beta 90.00
_cell_angle_gamma 90.00
loop_
_atom_site_label
_atom_site_fract_x
_atom_site_fract_y
_atom_site_fract_z
Sr1 0.000 0.000 0.000
Sc1 0.250 0.250 0.250
Ni1 0.000 0.000 0.500
Ni2 0.250 0.250 0.750
```

Calculated values
* energy of formation from the pure elements: 1.6 eV/f.u.
* DOS(E_F): 22.3 states/eV per cell
* polymorph energy (0 for the lowest one): 94 meV per atom